# 1
Compound: HfScAs2
Source: Alexandria
Functional: GGA-PBE
Structure: optimized geometry

Output
total moment: 0.00 μB per formula unit
volume: 322.23 Å³ per cell
raw total energy: -7.584 eV/atom
DOS at the Fermi energy: 6.66 states/eV per cell
energy above the most stable polymorph in this dataset: 0.005 eV/atom
formation energy from the elements: -1188 meV/atom
theoretical density: 7.69 Mg/m³

Cell: 5.4434 5.4434 10.8750 Å, 90.00 90.00 90.00°
Last column: nearest neighbours and their distance in Å.
Space group I4_1/amd (No. 141, origin choice 2)
Asymmetric unit:
Hf (0.0000, 0.2500, 0.3750) x4  6 As 2.72
Sc (0.0000, 0.2500, 0.8750) x4  6 As 2.72
As (0.0000, 0.2500, 0.1249) x8  3 Sc 2.72, 3 Hf 2.72

# 2
Compound: Mg3ReSi
Source: Alexandria
Functional: GGA-PBE
Structure: optimized geometry

Output
total moment: 3.13 μB per formula unit
volume: 116.44 Å³ per cell
raw total energy: -3.401 eV/atom
DOS at the Fermi energy: 1.61 states/eV per cell
energy above the most stable polymorph in this dataset: 0.000 eV/atom
uncorrected formation energy: 1.130 eV per atom
theoretical density: 4.10 Mg/m³

Cell: 4.8832 4.8832 4.8832 Å, 90.00 90.00 90.00°
Last column: nearest neighbours and their distance in Å.
Space group Pm-3m (No. 221)
Asymmetric unit:
Mg (0.0000, 0.0000, 0.5000) x3  2 Si 2.44
Re (0.5000, 0.5000, 0.5000) x1  12 Mg 3.45
Si (0.0000, 0.0000, 0.0000) x1  6 Mg 2.44

# 3
Compound: TcBi3Rh
Source: Alexandria
Functional: GGA-PBE
Structure: optimized geometry

Output
total moment: 0.00 μB per formula unit
volume: 142.31 Å³ per cell
raw total energy: -4.957 eV/atom
DOS at the Fermi energy: 4.28 states/eV per cell
energy above the most stable polymorph in this dataset: 0.000 eV/atom
formation energy from the elements: 916 meV/atom
theoretical density: 9.66 Mg/m³

Cell: 5.2208 5.2208 5.2208 Å, 90.00 90.00 90.00°
Last column: nearest neighbours and their distance in Å.
Space group Pm-3m (No. 221)
Asymmetric unit:
Tc (0.0000, 0.0000, 0.0000) x1  6 Bi 2.61
Bi (0.0000, 0.0000, 0.5000) x3  2 Tc 2.61
Rh (0.5000, 0.5000, 0.5000) x1  12 Bi 3.69

# 4
Compound: MgBeTe2
Source: Alexandria
Functional: GGA-PBE
Structure: optimized geometry

Output
total moment: 0.00 μB per formula unit
volume: 263.95 Å³ per cell
raw total energy: -2.834 eV/atom
DOS at the Fermi energy: 4.53 states/eV per cell
energy above the most stable polymorph in this dataset: 0.642 eV/atom
uncorrected formation energy: 0.067 eV per atom
theoretical density: 3.63 Mg/m³

Cell: 3.8333 3.8333 17.9631 Å, 90.00 90.00 90.00°
Last column: nearest neighbours and their distance in Å.
Space group I-4m2 (No. 119)
Asymmetric unit:
Mg (0.0000, 0.0000, 0.0000) x2  4 Te 2.71
Be (0.0000, 0.5000, 0.2500) x2  4 Te 2.71
Te (0.0000, 0.0000, 0.5000) x2  4 Mg 2.71
Te (0.0000, 0.5000, 0.7500) x2  4 Be 2.71

# 5
Compound: Pm2AgPb3
Source: Alexandria
Functional: GGA-PBE
Structure: optimized geometry

Output
total moment: 0.00 μB per formula unit
volume: 173.45 Å³ per cell
raw total energy: -4.198 eV/atom
DOS at the Fermi energy: 5.49 states/eV per cell
formation energy from the elements: -285 meV/atom
theoretical density: 9.76 Mg/m³

Cell: 4.5553 4.5553 8.3591 Å, 90.00 90.00 90.00°
Last column: nearest neighbours and their distance in Å.
Space group P-4m2 (No. 115)
Asymmetric unit:
Pm (0.0000, 0.5000, 0.1782) x2  7 Pb 3.23-3.52, 2 Ag 3.52
Ag (0.0000, 0.0000, 0.5000) x1  8 Pb 3.22-3.33, 4 Pm 3.52
Pb (0.0000, 0.5000, 0.7908) x2  5 Pm 3.23-3.24, 2 Pb 3.33, 2 Ag 3.33
Pb (0.5000, 0.5000, 0.5000) x1  4 Ag 3.22, 4 Pb 3.33, 4 Pm 3.52

# 6
Compound: NaTl3Zn2F9
Source: Alexandria
Functional: GGA-PBE
Structure: optimized geometry

Output
total moment: 0.00 μB per formula unit
volume: 227.68 Å³ per cell
raw total energy: -3.932 eV/atom
DOS at the Fermi energy: 4.57 states/eV per cell
uncorrected formation energy: -2.079 eV per atom
theoretical density: 6.84 Mg/m³

Cell: 5.9783 5.9783 7.3560 Å, 90.00 90.00 120.00°
Last column: nearest neighbours and their distance in Å.
Space group P-3m1 (No. 164)
Asymmetric unit:
Na (0.0000, 0.0000, 0.0000) x1  6 F 2.27
Tl (0.0000, 0.0000, 0.5000) x1  12 F 2.75-2.99
Tl (0.3333, 0.6667, 0.1683) x2  12 F 2.99-3.26
Zn (0.3333, 0.6667, 0.6621) x2  6 F 2.01-2.10
F (0.0000, 0.5000, 0.5000) x3  2 Zn 2.10
F (0.1632, 0.3264, 0.7947) x6  1 Zn 2.01

# 7
Compound: TcSb3Ir
Source: Alexandria
Functional: GGA-PBE
Structure: optimized geometry

Output
total moment: 2.63 μB per formula unit
volume: 135.90 Å³ per cell
raw total energy: -5.216 eV/atom
DOS at the Fermi energy: 3.87 states/eV per cell
energy above the most stable polymorph in this dataset: 0.107 eV/atom
uncorrected formation energy: 1.103 eV per atom
theoretical density: 8.01 Mg/m³

Cell: 5.1413 5.1413 5.1413 Å, 90.00 90.00 90.00°
Last column: nearest neighbours and their distance in Å.
Space group Pm-3m (No. 221)
Asymmetric unit:
Tc (0.0000, 0.0000, 0.0000) x1  12 Sb 3.64
Sb (0.0000, 0.5000, 0.5000) x3  2 Ir 2.57
Ir (0.5000, 0.5000, 0.5000) x1  6 Sb 2.57

# 8
Compound: Tb2Sb4Au
Source: Alexandria
Functional: GGA-PBE
Structure: optimized geometry

Output
total moment: 0.00 μB per formula unit
volume: 188.16 Å³ per cell
raw total energy: -4.853 eV/atom
DOS at the Fermi energy: 2.86 states/eV per cell
uncorrected formation energy: -0.706 eV per atom
theoretical density: 8.84 Mg/m³

Cell: 4.4254 4.4254 9.6079 Å, 90.00 90.00 90.00°
Last column: nearest neighbours and their distance in Å.
Space group P-4m2 (No. 115)
Asymmetric unit:
Tb (0.0000, 0.5000, 0.2443) x2  8 Sb 3.22-3.31, 2 Au 3.23
Sb (0.0000, 0.0000, 0.5000) x1  4 Sb 3.13, 4 Tb 3.31
Sb (0.0000, 0.5000, 0.8330) x2  2 Au 2.73
Sb (0.5000, 0.5000, 0.5000) x1  4 Sb 3.13, 4 Tb 3.31
Au (0.5000, 0.5000, 0.0000) x1  4 Sb 2.73

# 9
Compound: K2RuIO6
Source: Alexandria
Functional: GGA-PBE
Structure: optimized geometry

Output
total moment: 3.03 μB per formula unit
volume: 541.37 Å³ per cell
raw total energy: -5.149 eV/atom
DOS at the Fermi energy: 2.48 states/eV per cell
uncorrected formation energy: -0.872 eV per atom
theoretical density: 4.93 Mg/m³

Cell: 8.1501 8.1501 8.1501 Å, 90.00 90.00 90.00°
Last column: nearest neighbours and their distance in Å.
Space group Fm-3m (No. 225)
Asymmetric unit:
K (0.2500, 0.2500, 0.2500) x8  12 O 2.88
Ru (0.0000, 0.0000, 0.0000) x4  6 O 2.01
I (0.0000, 0.0000, 0.5000) x4  6 O 2.07
O (0.0000, 0.0000, 0.2461) x24  1 Ru 2.01, 1 I 2.07

# 10
Compound: Pr3GdIr
Source: Alexandria
Functional: GGA-PBE
Structure: optimized geometry

Output
total moment: 8.19 μB per formula unit
volume: 181.58 Å³ per cell
raw total energy: -7.588 eV/atom
DOS at the Fermi energy: 9.46 states/eV per cell
formation energy from the elements: -132 meV/atom
theoretical density: 7.06 Mg/m³

Cell: 5.6627 5.6627 5.6627 Å, 90.00 90.00 90.00°
Last column: nearest neighbours and their distance in Å.
Space group Pm-3m (No. 221)
Asymmetric unit:
Pr (0.0000, 0.0000, 0.5000) x3  2 Ir 2.83
Gd (0.5000, 0.5000, 0.5000) x1  12 Pr 4.00
Ir (0.0000, 0.0000, 0.0000) x1  6 Pr 2.83

# 11
Compound: MgSi
Source: Alexandria
Functional: GGA-PBE
Structure: optimized geometry

Output
total moment: 0.00 μB per formula unit
volume: 228.65 Å³ per cell
raw total energy: -3.498 eV/atom
DOS at the Fermi energy: 3.68 states/eV per cell
uncorrected formation energy: 0.011 eV per atom
theoretical density: 2.28 Mg/m³

Cell: 5.3110 5.7580 8.4946 Å, 101.81 101.03 110.24°
Last column: nearest neighbours and their distance in Å.
Space group P-1 (No. 2)
Asymmetric unit:
Mg (0.1854, 0.4496, 0.3529) x2  5 Si 2.76-3.01
Mg (0.2200, 0.1695, 0.6806) x2  5 Si 2.69-2.88
Mg (0.2792, 0.7227, 0.0323) x2  6 Si 2.71-2.95, 1 Mg 3.03
Si (0.2020, 0.2014, 0.0155) x2  2 Si 2.48-2.54, 2 Mg 2.71-2.76
Si (0.3366, 0.9758, 0.3745) x2  2 Si 2.36-2.38
Si (0.4001, 0.6966, 0.7273) x2  2 Si 2.36-2.54

# 12
Compound: Tb6HgAu2
Source: Alexandria
Functional: GGA-PBE
Structure: optimized geometry

Output
total moment: 0.00 μB per formula unit
volume: 541.36 Å³ per cell
raw total energy: -4.172 eV/atom
DOS at the Fermi energy: 25.78 states/eV per cell
formation energy from the elements: -324 meV/atom
theoretical density: 9.50 Mg/m³

Cell: 5.0374 7.1271 15.0789 Å, 90.00 90.00 90.00°
Last column: nearest neighbours and their distance in Å.
Space group Immm (No. 71)
Asymmetric unit:
Tb (0.0000, 0.2414, 0.0000) x4  2 Au 3.05, 2 Hg 3.12
Tb (0.0000, 0.2542, 0.3304) x8  3 Au 3.06-3.07, 1 Hg 3.13
Hg (0.0000, 0.0000, 0.5000) x2  8 Tb 3.12-3.13
Au (0.0000, 0.0000, 0.1669) x4  8 Tb 3.05-3.07